(1)
Entry from Alexandria: a relaxed LiCe2P3Rh4 crystal (PBE).

Summary:
Crystal system: tetragonal
DOS(E_F) (states/eV per atom): 0.727
Formation energy (meV per atom): -1061
Total moment (μB/cell): 0.01
DFT total energy (eV for the cell shown): -70.02
Space-group type: P-4m2 (115)
Density (kg/m3): 8091

Cell: 4.001 4.001 10.153 Å, 90.00 90.00 90.00°
Fractional coordinates of all 10 atoms:
Li  0.000  0.000  0.000
Ce  0.000  0.500  0.755
Ce  0.500  0.000  0.245
P  0.000  0.500  0.366
P  0.500  0.000  0.634
P  0.500  0.500  0.000
Rh  0.000  0.000  0.500
Rh  0.000  0.500  0.137
Rh  0.500  0.000  0.863
Rh  0.500  0.500  0.500

(2)
Entry from Alexandria: a relaxed Al2TlHgF crystal (PBE).

Summary:
Crystal system: tetragonal
DOS(E_F) (states/eV per atom): 0.339
Total moment (μB/cell): 0.00
E_form (uncorrected) (eV per atom): -0.27
DFT total energy (eV for the cell shown): -13.36
Space-group type: P4/mmm (123)
Density (kg/m3): 6818

Cell: 4.537 4.537 5.654 Å, 90.00 90.00 90.00°
Fractional coordinates of all 5 atoms:
Al  0.000  0.500  0.000
Al  0.500  0.000  0.000
Tl  0.000  0.000  0.500
Hg  0.500  0.500  0.500
F  0.500  0.500  0.000

(3)
Entry from Alexandria: a relaxed PrErPSe crystal (PBE).

Summary:
Crystal system: trigonal
DOS(E_F) (states/eV per atom): 0.675
Total moment (μB/cell): 0.00
E_form (uncorrected) (eV per atom): -1.71
DFT total energy (eV for the cell shown): -25.07
Space-group type: R3m (160)
Density (kg/m3): 6927

Cell: 7.475 7.475 7.475 Å, 31.33 31.33 31.33°
Fractional coordinates of all 4 atoms:
Pr  0.000  0.000  0.000
Er  0.816  0.816  0.816
P  0.415  0.415  0.415
Se  0.235  0.235  0.235

(4)
Entry from Alexandria: a relaxed Pm5Nd2DyHo crystal (PBE).

Summary:
Crystal system: tetragonal
DOS(E_F) (states/eV per atom): 1.510
Formation energy (meV per atom): 274
Total moment (μB/cell): 0.00
DFT total energy (eV for the cell shown): -80.01
Space-group type: I4/mcm (140)
Density (kg/m3): 7223

Cell: 10.250 10.250 10.250 Å, 130.01 130.01 73.38°
Fractional coordinates of all 18 atoms:
Pm  0.000  0.000  0.000
Pm  0.073  0.573  0.930
Pm  0.143  0.073  0.500
Pm  0.357  0.857  0.930
Pm  0.427  0.357  0.500
Pm  0.500  0.500  0.000
Pm  0.573  0.643  0.500
Pm  0.643  0.143  0.070
Pm  0.857  0.927  0.500
Pm  0.927  0.427  0.070
Nd  0.120  0.380  0.500
Nd  0.380  0.880  0.259
Nd  0.620  0.120  0.741
Nd  0.880  0.620  0.500
Dy  0.250  0.250  0.000
Dy  0.750  0.750  0.000
Ho  0.250  0.750  0.500
Ho  0.750  0.250  0.500